Record 1
A relaxed structure of Cs2Np2SbSe6, computed with PBE.

Cell and atoms, written as POSCAR:
```
Cs2Np2SbSe6
1.0
-1.607 -6.968 1.693
2.363 1.681 -6.753
7.810 0.466 4.148
Cs Np Sb Se
2 2 1 6
Direct
0.836 0.164 0.000
0.164 0.836 0.000
0.334 0.666 0.500
0.666 0.334 0.500
0.000 0.000 0.500
0.722 0.722 0.681
0.059 0.396 0.681
0.278 0.278 0.319
0.396 0.059 0.681
0.941 0.604 0.319
0.604 0.941 0.319
```

Results
crystal system	monoclinic
SG	C2/m
uncorrected formation energy	-1.036	eV per atom
VASP energy	-64.02	eV for the cell shown
density of states at the Fermi level	17.14	states/eV per cell

Record 2
A relaxed structure of RbHg4Pb, computed with PBE.

Cell and atoms, written as POSCAR:
```
RbHg4Pb
1.0
-4.485 4.503 2.327
-0.568 -1.615 9.597
3.033 5.306 2.907
Rb Hg Pb
2 8 2
Direct
0.186 0.224 0.186
0.814 0.776 0.814
0.197 0.738 0.197
0.826 0.558 0.393
0.798 0.000 0.202
0.607 0.442 0.174
0.803 0.262 0.803
0.174 0.442 0.607
0.202 0.000 0.798
0.393 0.558 0.826
0.437 0.823 0.437
0.563 0.177 0.563
```

Results
calculated formation energy	-0.126	eV/atom
crystal system	monoclinic
SG	C2/m
VASP energy	-13.27	eV for the cell shown
density of states at the Fermi level	5.81	states/eV per cell

Record 3
A relaxed structure of CaY3Ir, computed with PBE.

Cell and atoms, written as POSCAR:
```
CaY3Ir
1.0
-6.300 -6.008 3.658
2.246 0.591 2.999
-5.943 5.637 3.393
Y Ca Ir
6 2 2
Direct
0.561 0.481 0.426
0.348 0.876 0.188
0.101 0.761 0.863
0.429 0.417 0.833
0.969 0.697 0.270
0.182 0.301 0.508
0.786 0.080 0.644
0.744 0.098 0.051
0.370 0.889 0.610
0.159 0.288 0.086
```

Results
calculated formation energy	-0.382	eV/atom
crystal system	triclinic
SG	P-1
VASP energy	-64.33	eV for the cell shown
density of states at the Fermi level	15.73	states/eV per cell